Record 1
DFT (PBE) results for a relaxed structure of Ca19Mg8H54.

Structure (CIF):
```
data_Ca19Mg8H54
_chemical_formula_sum 'Ca19 Mg8 H54'
_cell_length_a 10.4886
_cell_length_b 10.4886
_cell_length_c 10.4886
_cell_angle_alpha 109.47
_cell_angle_beta 109.47
_cell_angle_gamma 109.47
_space_group_name_H-M_alt 'P 1'
_space_group_IT_number 1
_space_group_name_Hall 'P 1'
loop_
_atom_site_label
_atom_site_fract_x
_atom_site_fract_y
_atom_site_fract_z
Ca1 0.6874 0.3414 0.6540
Ca2 0.3126 0.6586 0.3460
Ca3 0.6874 0.0334 0.3460
Ca4 0.3126 0.9666 0.6540
Ca5 0.3460 0.3126 0.6586
Ca6 0.6540 0.6874 0.3414
Ca7 0.6540 0.3126 0.9666
Ca8 0.3460 0.6874 0.0334
Ca9 0.0334 0.3460 0.6874
Ca10 0.9666 0.6540 0.3126
Ca11 0.3414 0.6540 0.6874
Ca12 0.6586 0.3460 0.3126
Ca13 0.6686 0.0000 0.6686
Ca14 0.3314 0.0000 0.3314
Ca15 0.6686 0.6686 0.0000
Ca16 0.3314 0.3314 0.0000
Ca17 0.0000 0.3314 0.3314
Ca18 0.0000 0.6686 0.6686
Ca19 0.0000 0.0000 0.0000
Mg1 0.6844 0.6844 0.6844
Mg2 0.0000 0.3156 0.0000
Mg3 0.0000 0.0000 0.3156
Mg4 0.3156 0.0000 0.0000
Mg5 0.3156 0.3156 0.3156
Mg6 0.0000 0.6844 0.0000
Mg7 0.0000 0.0000 0.6844
Mg8 0.6844 0.0000 0.0000
H1 0.5763 0.7189 0.5201
H2 0.8012 0.2811 0.8575
H3 0.1988 0.0563 0.4799
H4 0.4237 0.9437 0.1425
H5 0.8575 0.8012 0.2811
H6 0.5201 0.5763 0.7189
H7 0.1425 0.4237 0.9437
H8 0.4799 0.1988 0.0563
H9 0.0563 0.4799 0.1988
H10 0.9437 0.1425 0.4237
H11 0.7189 0.5201 0.5763
H12 0.2811 0.8575 0.8012
H13 0.4237 0.2811 0.4799
H14 0.1988 0.7189 0.1425
H15 0.8012 0.9437 0.5201
H16 0.5763 0.0563 0.8575
H17 0.1425 0.1988 0.7189
H18 0.4799 0.4237 0.2811
H19 0.8575 0.5763 0.0563
H20 0.5201 0.8012 0.9437
H21 0.9437 0.5201 0.8012
H22 0.0563 0.8575 0.5763
H23 0.2811 0.4799 0.4237
H24 0.7189 0.1425 0.1988
H25 0.6030 0.4218 0.8188
H26 0.3970 0.5782 0.1812
H27 0.6030 0.7842 0.1812
H28 0.3970 0.2158 0.8188
H29 0.1812 0.3970 0.5782
H30 0.8188 0.6030 0.4218
H31 0.8188 0.3970 0.2158
H32 0.1812 0.6030 0.7842
H33 0.7842 0.1812 0.6030
H34 0.2158 0.8188 0.3970
H35 0.4218 0.8188 0.6030
H36 0.5782 0.1812 0.3970
H37 0.8281 0.7182 0.8901
H38 0.1719 0.2818 0.1099
H39 0.8281 0.9381 0.1099
H40 0.1719 0.0619 0.8901
H41 0.1099 0.1719 0.2818
H42 0.8901 0.8281 0.7182
H43 0.8901 0.1719 0.0619
H44 0.1099 0.8281 0.9381
H45 0.9381 0.1099 0.8281
H46 0.0619 0.8901 0.1719
H47 0.7182 0.8901 0.8281
H48 0.2818 0.1099 0.1719
H49 0.3859 0.5000 0.8858
H50 0.6142 0.5000 0.1142
H51 0.8858 0.3859 0.5000
H52 0.1142 0.6142 0.5000
H53 0.5000 0.1142 0.6142
H54 0.5000 0.8858 0.3859
```

symmetry: Im-3, No. 204
density of states at the Fermi level: 0.000 states/eV/atom
DFT total energy: -270.08 eV per formula unit

***

Record 2
DFT (PBE) results for a relaxed structure of CoSI3.

Structure (CIF):
```
data_CoSI3
_chemical_formula_sum 'Co1 S1 I3'
_cell_length_a 5.2105
_cell_length_b 5.2105
_cell_length_c 5.2105
_cell_angle_alpha 90.00
_cell_angle_beta 90.00
_cell_angle_gamma 90.00
_space_group_name_H-M_alt 'P 1'
_space_group_IT_number 1
_space_group_name_Hall 'P 1'
loop_
_atom_site_label
_atom_site_fract_x
_atom_site_fract_y
_atom_site_fract_z
I1 0.0000 0.5000 0.0000
I2 0.0000 0.0000 0.5000
I3 0.5000 0.0000 0.0000
S1 0.5000 0.5000 0.5000
Co1 0.0000 0.0000 0.0000
```

uncorrected formation energy: 3.31 eV per formula unit
symmetry: Pm-3m, No. 221
density of states at the Fermi level: 1.642 states/eV/atom
energy relative to the lowest polymorph listed for this composition: 0 kJ/mol of formula units

***

Record 3
DFT (PBE) results for a relaxed structure of HgGe3P.

Structure (CIF):
```
data_HgGe3P
_chemical_formula_sum 'Hg1 Ge3 P1'
_cell_length_a 5.1438
_cell_length_b 5.1438
_cell_length_c 5.1438
_cell_angle_alpha 90.00
_cell_angle_beta 90.00
_cell_angle_gamma 90.00
_space_group_name_H-M_alt 'P 1'
_space_group_IT_number 1
_space_group_name_Hall 'P 1'
loop_
_atom_site_label
_atom_site_fract_x
_atom_site_fract_y
_atom_site_fract_z
P1 0.5000 0.5000 0.5000
Ge1 0.0000 0.5000 0.0000
Ge2 0.0000 0.0000 0.5000
Ge3 0.5000 0.0000 0.0000
Hg1 0.0000 0.0000 0.0000
```

symmetry: Pm-3m, No. 221
density of states at the Fermi level: 0.480 states/eV/atom
formation energy: 113.3 kJ per mole of atoms
energy relative to the lowest polymorph listed for this composition: 290 kJ/mol of formula units